This record from the Alexandria database describes Cu2OsW at its PBEsol-relaxed geometry. The functional is SCAN.

The structure in CIF format:
```
data_Cu2OsW
_cell_length_a 2.647
_cell_length_b 3.925
_cell_length_c 5.090
_cell_angle_alpha 90.00
_cell_angle_beta 90.00
_cell_angle_gamma 90.00
_symmetry_space_group_name_H-M 'P m m m'
_symmetry_Int_Tables_number 47
loop_
_symmetry_equiv_pos_as_xyz
'x,y,z'
'-x,-y,-z'
'-x,-y,z'
'x,y,-z'
'x,-y,-z'
'-x,y,z'
'-x,y,-z'
'x,-y,z'
loop_
_atom_site_label
_atom_site_type_symbol
_atom_site_fract_x
_atom_site_fract_y
_atom_site_fract_z
Cu1 Cu 0.000 0.000 0.248
Os1 Os 0.500 0.500 0.000
W1 W 0.500 0.500 0.500
```

## Properties
energy of formation = 0.38 eV per atom
final energy = -42.611 eV per atom